The following is a PBE calculation of a geometry-optimized BeGa2Pd structure, from the Alexandria database.

Spin magnetization in Bohr magnetons per cell: 0.00
Calculated total energy in eV/atom: -3.6993

```
BeGa2Pd
1.0
1.465 0.846 8.573
-1.465 0.846 8.573
0.000 -1.691 8.573
Be Ga Pd
1 2 1
Direct
0.000 0.000 0.000
0.088 0.088 0.088
0.912 0.912 0.912
0.500 0.500 0.500
```

The following is a PBE calculation of a geometry-optimized SrTa2Al2 structure, from the Alexandria database.

Spin magnetization in Bohr magnetons per cell: 0.00
Calculated total energy in eV/atom: -6.4624

```
SrTa2Al2
1.0
8.448 0.000 0.000
0.000 8.448 0.000
0.000 0.000 2.904
Sr Ta Al
2 4 4
Direct
0.000 0.000 0.000
0.500 0.500 0.000
0.117 0.383 0.500
0.383 0.883 0.500
0.617 0.117 0.500
0.883 0.617 0.500
0.171 0.671 0.000
0.329 0.171 0.000
0.671 0.829 0.000
0.829 0.329 0.000
```

The following is a PBE calculation of a geometry-optimized CaDyTm4S8 structure, from the Alexandria database.

Formation energy from raw total energies in kJ per mole of atoms: -192.4
Spin magnetization in Bohr magnetons per cell: 0.00
Calculated total energy in eV/atom: -6.1023

```
CaDyTm4S8
1.0
3.998 2.308 6.557
-3.998 2.308 6.557
0.000 -4.617 6.557
Ca Dy Tm S
1 1 4 8
Direct
0.000 0.000 0.000
0.373 0.373 0.373
0.373 0.373 0.880
0.373 0.880 0.373
0.749 0.749 0.749
0.880 0.373 0.373
0.133 0.133 0.592
0.133 0.592 0.133
0.136 0.136 0.136
0.147 0.619 0.619
0.592 0.133 0.133
0.617 0.617 0.617
0.619 0.147 0.619
0.619 0.619 0.147
```

Question: The lowest calculated total energy belongs to which entry?
Answer: SrTa2Al2